1.
3
Lattice="-6.1331 -27.6682 -8.3641 -0.0877 -9.3780 -3.0257 3.1430 8.3512 4.1818" Properties=species:S:1:pos:R:3 comment="PBE KYHf, optimized geometry" n_ef_per_ev_atom=0.526 magnetic_moment_mub_per_cell=0.00 dft_energy_ev_per_atom=-5.36 e_form_ev_per_atom=0.481 pbc="T T T"
Y 1.6135 0.3791 1.1439
K -0.8795 -12.1580 -3.4020
Hf -0.1181 -6.6303 -0.5050

=====

2.
4
Lattice="-2.4966 1.4586 -1.8025 -0.9307 -3.0563 -1.1842 -4.5434 -0.8030 5.6432" Properties=species:S:1:pos:R:3 comment="PBE Pu2UPd, optimized geometry" n_ef_per_ev_atom=2.455 magnetic_moment_mub_per_cell=10.94 dft_energy_ev_per_atom=-11.34 e_form_ev_per_atom=-0.059 pbc="T T T"
U -1.7136 -0.7989 -1.4933
Pd -3.9853 -1.2003 1.3283
Pu -3.3871 -0.5986 4.2070
Pu -1.1563 -0.2044 1.4362

=====

3.
9
Lattice="5.0772 0.0000 0.0000 2.5386 7.6271 0.0000 2.5386 0.0000 7.6271" Properties=species:S:1:pos:R:3 comment="PBE LaY8, optimized geometry" n_ef_per_ev_atom=1.585 magnetic_moment_mub_per_cell=0.00 dft_energy_ev_per_atom=-6.27 e_form_ev_per_atom=0.027 pbc="T T T"
La 0.0000 0.0000 0.0000
Y 2.5386 0.0000 2.5622
Y 5.0772 0.0000 5.0648
Y 5.0772 5.0648 0.0000
Y 2.5386 5.0753 2.5518
Y 5.0772 5.0753 5.0753
Y 5.0772 2.5518 2.5518
Y 2.5386 2.5518 5.0753
Y 2.5386 2.5622 0.0000

=====

4.
16
Lattice="8.9435 -0.0052 -1.6709 -0.0115 8.9434 -1.6709 -5.6685 -5.6725 7.9812" Properties=species:S:1:pos:R:3 comment="PBE PmY2ErSc4, optimized geometry" n_ef_per_ev_atom=2.080 magnetic_moment_mub_per_cell=8.21 dft_energy_ev_per_atom=-5.51 e_form_ev_per_atom=0.440 pbc="T T T"
Pm -0.0058 4.4717 -0.8354
Pm 6.1035 1.6302 1.4843
Y 4.4717 -0.0026 -0.8354
Y 1.6375 -2.8388 3.1552
Y -2.8343 -2.8362 3.9906
Y 4.4660 4.4691 -1.6709
Er 1.6317 1.6329 2.3198
Er 3.2749 -5.6777 6.3103
Sc -3.4617 1.0462 6.3048
Sc 3.8580 -0.5839 2.3253
Sc -0.5946 3.8495 2.3142
Sc 6.7252 2.2195 -1.6653
Sc 1.0560 1.0374 5.4440
Sc 3.8584 3.8419 1.5153
Sc -0.5950 -0.5761 3.1242
Sc 2.2074 2.2283 -0.8045

=====

5.
4
Lattice="6.8421 0.0000 0.0022 0.0000 4.3634 0.0000 -8.3517 0.0000 2.2763" Properties=species:S:1:pos:R:3 comment="PBE WAu, optimized geometry" n_ef_per_ev_atom=0.609 magnetic_moment_mub_per_cell=0.00 dft_energy_ev_per_atom=-7.74 e_form_ev_per_atom=0.373 pbc="T T T"
Au -0.2314 0.0000 0.4848
Au -2.9887 2.1817 1.7931
W 1.7182 2.1817 0.0181
W -4.9382 0.0000 2.2598

=====

6.
5
Lattice="4.1473 0.0000 0.0000 0.0000 4.1473 0.0000 0.0000 0.0000 4.1473" Properties=species:S:1:pos:R:3 comment="PBE Be3OsBr, optimized geometry" n_ef_per_ev_atom=0.622 raw_formation_energy_ev_per_atom=1.713 magnetic_moment_mub_per_cell=0.00 dft_energy_ev_per_atom=-3.10 pbc="T T T"
Be 0.0000 2.0736 0.0000
Be 0.0000 0.0000 2.0736
Be 2.0736 0.0000 0.0000
Os 2.0736 2.0736 2.0736
Br 0.0000 0.0000 0.0000

=====

7.
4
Lattice="9.4897 -0.0115 -0.0068 9.0599 2.8235 -0.0068 9.0599 1.3734 2.4669" Properties=species:S:1:pos:R:3 comment="PBE Mg2CuW, optimized geometry" n_ef_per_ev_atom=0.829 magnetic_moment_mub_per_cell=0.00 dft_energy_ev_per_atom=-4.75 e_form_ev_per_atom=0.311 pbc="T T T"
Cu 20.7071 3.1390 1.8401
Mg 0.1258 0.0191 0.0112
Mg 13.6790 2.0736 1.2155
W 6.9024 1.0463 0.6134

=====

8.
4
Lattice="4.2493 0.0000 0.0000 0.0000 4.2778 0.0000 0.0000 0.0000 5.4936" Properties=species:S:1:pos:R:3 comment="PBE K2TcAu, optimized geometry" n_ef_per_ev_atom=0.843 magnetic_moment_mub_per_cell=2.62 dft_energy_ev_per_atom=-3.03 e_form_ev_per_atom=0.929 pbc="T T T"
Au 0.0000 2.1389 2.7468
K 0.0000 0.0000 0.0000
K 2.1246 2.1389 0.0000
Tc 2.1246 0.0000 2.7468

=====

> Number 8 is which compound?

K2TcAu

=====

Copy entry 6 word for word.
5
Lattice="4.1473 0.0000 0.0000 0.0000 4.1473 0.0000 0.0000 0.0000 4.1473" Properties=species:S:1:pos:R:3 comment="PBE Be3OsBr, optimized geometry" n_ef_per_ev_atom=0.622 raw_formation_energy_ev_per_atom=1.713 magnetic_moment_mub_per_cell=0.00 dft_energy_ev_per_atom=-3.10 pbc="T T T"
Be 0.0000 2.0736 0.0000
Be 0.0000 0.0000 2.0736
Be 2.0736 0.0000 0.0000
Os 2.0736 2.0736 2.0736
Br 0.0000 0.0000 0.0000